Record 1
VASP calculation (PBE) on a geometry-optimized FePt2Cl structure.

The structure in POSCAR format:
```
FePt2Cl
1.0
-1.987 1.987 4.034
1.987 -1.987 4.034
1.987 1.987 -4.034
Fe Pt Cl
1 2 1
direct
0.000 0.000 0.000
0.250 0.750 0.500
0.750 0.250 0.500
0.500 0.500 0.000
```

Output
Space group: I4/mmm (139)
E above lowest polymorph (meV per atom): 428.0

=====

Record 2
VASP calculation (PBE) on a geometry-optimized YMnSi2 structure.

The structure in POSCAR format:
```
YMnSi2
1.0
-2.147 2.147 3.772
2.147 -2.147 3.772
2.147 2.147 -3.772
Y Mn Si
1 1 2
direct
0.000 0.000 0.000
0.500 0.500 0.000
0.250 0.750 0.500
0.750 0.250 0.500
```

Output
Space group: I4/mmm (139)

=====

Number 1: raw formation energy 467 meV per atom. Number 2: raw formation energy -48 meV per atom.